Compound: PmEr2Ru9
Source: the Alexandria database
Functional: GGA-PBE
Structure: relaxed

- DOS at the Fermi energy (states/eV/f.u.) = 17.14
- DFT total energy (eV/atom) = -8.2477
- space-group type = R-3m
- energy relative to the elements (kJ per mole of atoms) = -13

abc: 5.287 5.287 9.186
angles: 73.28 73.28 60.00
Sites, in units of the cell vectors:
Pm: 0.000 0.000 0.000
Er: 0.860 0.860 0.419
Er: 0.140 0.140 0.581
Ru: 0.661 0.661 0.016
Ru: 0.339 0.339 0.984
Ru: 0.500 0.500 0.500
Ru: 0.411 0.411 0.251
Ru: 0.928 0.411 0.251
Ru: 0.411 0.928 0.251
Ru: 0.589 0.589 0.749
Ru: 0.589 0.072 0.749
Ru: 0.072 0.589 0.749